#P
Computed, not measured: a relaxed CdSi3S crystal at the PBE-GGA level of DFT.

Cell lengths 4.647, 4.647, 4.647 Å; angles 90.00, 90.00, 90.00 degrees
Space group Pm-3m (No. 221)
One atom of each set of equivalent atoms:
1 Cd 0.000 0.000 0.000 (multiplicity 1)
2 Si 0.000 0.500 0.500 (multiplicity 3)
3 S 0.500 0.500 0.500 (multiplicity 1)


#Q
Computed, not measured: a relaxed CdSi3S crystal at the PBE-GGA level of DFT.

Cell lengths 5.007, 5.007, 5.007 Å; angles 90.00, 90.00, 90.00 degrees
Space group Pm-3m (No. 221)
One atom of each set of equivalent atoms:
1 Cd 0.000 0.000 0.000 (multiplicity 1)
2 Si 0.000 0.000 0.500 (multiplicity 3)
3 S 0.500 0.500 0.500 (multiplicity 1)


Stability ranking, top and bottom: #P is the most stable and #Q is the least stable.